# 1
# LaNd2Mg3TlIn2

A relaxed LaNd2Mg3TlIn2 crystal (PBE-GGA, OQMD).

The space group is Amm2 (No. 38) and the conventional cell measures 4.787, 13.494 and 7.738 Å, with angles of 90.00, 90.00 and 90.00 degrees. Symmetry generates all atoms from La at (0.000, 0.000, 0.000), Nd at (0.000, 0.213, 0.643), Mg at (0.500, 0.000, 0.672), Mg at (0.500, 0.122, 0.309), Tl at (0.000, 0.000, 0.433) and In at (0.500, 0.169, 0.929).

For the final energy, the calculation gives -3.399 eV per atom. Its magnetic moment is 0.00 μB/atom.

***

# 2
# RbZrAgSeS2

A relaxed RbZrAgSeS2 crystal (PBE-GGA, OQMD).

The space group is P2_1/m (No. 11) and the conventional cell measures 8.564, 3.949 and 9.853 Å, with angles of 90.00, 111.47 and 90.00 degrees. Symmetry generates all atoms from Rb at (0.242, 0.250, 0.217), Zr at (0.183, 0.750, 0.656), Ag at (0.421, 0.250, 0.893), Se at (0.389, 0.250, 0.620), S at (0.029, 0.750, 0.368) and S at (0.243, 0.750, 0.929).

Its magnetic moment is 0.00 μB/atom. The excess energy over the best structure of this formula in the dataset is 17 meV per atom.

***

# 3
# CsNdO3

A relaxed CsNdO3 crystal (PBE-GGA, OQMD).

The space group is P4mm (No. 99) and the conventional cell measures 4.628, 4.628 and 4.700 Å, with angles of 90.00, 90.00 and 90.00 degrees. Symmetry generates all atoms from Cs at (0.000, 0.000, 0.000), Nd at (0.500, 0.500, 0.500), O at (0.000, 0.500, 0.504) and O at (0.500, 0.500, 0.001).

For the final energy, the calculation gives -5.831 eV per atom. Its magnetic moment is 0.40 μB/atom.

***

# 4
# AlIrPd

A relaxed AlIrPd crystal (PBE-GGA, OQMD).

The space group is F-43m (No. 216) and the conventional cell measures 5.776, 5.776 and 5.776 Å, with angles of 90.00, 90.00 and 90.00 degrees. Symmetry generates all atoms from Al at (0.000, 0.000, 0.000), Ir at (0.250, 0.250, 0.750) and Pd at (0.250, 0.250, 0.250).

Its magnetic moment is 0.00 μB/atom. The excess energy over the best structure of this formula in the dataset is 0 meV per atom.

***

# 5
# RbNaTePd

A relaxed RbNaTePd crystal (PBE-GGA, OQMD).

The space group is F-43m (No. 216) and the conventional cell measures 7.779, 7.779 and 7.779 Å, with angles of 90.00, 90.00 and 90.00 degrees. Symmetry generates all atoms from Rb at (0.000, 0.000, 0.000), Na at (0.000, 0.000, 0.500), Te at (0.250, 0.250, 0.250) and Pd at (0.250, 0.250, 0.750).

The excess energy over the best structure of this formula in the dataset is 215 meV per atom.

***

# 6
# LuMgBiOs

A relaxed LuMgBiOs crystal (PBE-GGA, OQMD).

The space group is F-43m (No. 216) and the conventional cell measures 6.950, 6.950 and 6.950 Å, with angles of 90.00, 90.00 and 90.00 degrees. Symmetry generates all atoms from Lu at (0.000, 0.000, 0.000), Mg at (0.000, 0.000, 0.500), Bi at (0.250, 0.250, 0.750) and Os at (0.250, 0.250, 0.250).

Its magnetic moment is 0.00 μB/atom. The excess energy over the best structure of this formula in the dataset is 26 meV per atom.